TaVRh | PBE | optimized geometry

The formation enthalpy at 0 K comes out at -228 meV/atom. The energy above the most stable polymorph in this dataset is 92.0 meV/atom.

Lattice parameters (Å, degrees): 5.9535 5.9535 5.9535 152.04 152.04 39.96
Closest atoms and distances in Å follow each position.
Element x y z (fractional)
Ta1 0.0000 0.0000 0.0000  4 V 2.85, 4 Ta 2.88, 4 Rh 2.88
V1 0.3221 0.3221 0.0000  4 Rh 2.57, 4 Ta 2.85, 4 V 2.88
Rh1 0.6818 0.6818 0.0000  4 V 2.57, 4 Rh 2.88, 4 Ta 2.88